Entry from Alexandria: CaAcCeTm after structural relaxation (GGA-PBE).

Cell: 5.935 5.935 5.935 Å, 60.00 60.00 60.00°
Element x y z (fractional)
Tm 0.000 0.000 0.000
Ce 0.750 0.750 0.750
Ca 0.250 0.250 0.250
Ac 0.500 0.500 0.500

Space group: F-43m, No. 216
Energy of formation from the pure elements, kJ per mole of atoms: 24.6
Energy, Ha/atom: -0.1423